Material: PrCu5S4
Method: DFT, PBE
State: relaxed

a b c (Å): 7.4703 7.4703 7.4703
angles (deg): 149.77 123.68 65.25
With the nearest neighbours (Å) after each atom.
Positions (direct):
Pr 0.0000 0.0000 0.0000  6 S 2.81-2.90
Cu 0.0167 0.3193 0.6974  4 S 2.36-2.47
Cu 0.3781 0.6807 0.6974  4 S 2.36-2.47
Cu 0.5000 0.0000 0.5000  4 S 2.46
Cu 0.6219 0.3193 0.3026  4 S 2.36-2.47
Cu 0.9833 0.6807 0.3026  4 S 2.36-2.47
S 0.2305 0.2305 0.0000  6 Cu 2.41-2.47
S 0.2866 0.5000 0.7866  4 Cu 2.36-2.46
S 0.7134 0.5000 0.2134  4 Cu 2.36-2.46
S 0.7695 0.7695 0.0000  6 Cu 2.41-2.47

Output
total magnetic moment	0.00	Bohr magnetons per cell
electronic total energy	-4.7030	eV/atom